Record 1
Material: Ti2MnGa
Method: DFT, GGA-PBE
State: relaxed

Volume: 67.0 Å³/cell
Crystal system: orthorhombic
Total DFT energy (no corrections): -6.732 eV per atom
ΔH_f (0 K): 102 kJ/mol of formula units
Magnetic moment: 0.00 μB/cell
N(E_F): 1.341 states/eV per atom

```
Ti2MnGa
1.0
-1.483 1.889 5.980
1.483 -1.889 5.980
1.483 1.889 -5.980
Ti Mn Ga
2 1 1
Direct
0.177 0.177 0.000 Ti
0.823 0.823 0.000 Ti
0.000 0.000 0.000 Mn
0.500 0.500 0.000 Ga
```

Record 2
Material: TiMn2Ga
Method: DFT, GGA-PBE
State: relaxed

Volume: 53.0 Å³/cell
Crystal system: tetragonal
Total DFT energy (no corrections): -7.540 eV per atom
ΔH_f (0 K): -87 kJ/mol of formula units
Magnetic moment: 2.89 μB/cell
N(E_F): 0.661 states/eV per atom

```
TiMn2Ga
1.0
3.047 0.000 0.000
0.000 3.047 0.000
0.000 0.000 5.709
Ti Mn Ga
1 2 1
Direct
0.000 0.000 0.000 Ti
0.500 0.500 0.251 Mn
0.500 0.500 0.749 Mn
0.000 0.000 0.500 Ga
```

Record 3
Material: Ti6MnGa10
Method: DFT, GGA-PBE
State: relaxed

Volume: 274.3 Å³/cell
Crystal system: trigonal
Total DFT energy (no corrections): -5.361 eV per atom
ΔH_f (0 K): -417 kJ/mol of formula units
Magnetic moment: 1.42 μB/cell
N(E_F): 0.772 states/eV per atom

```
Ti6MnGa10
1.0
7.711 0.000 0.000
-3.856 6.678 0.000
0.000 0.000 5.327
Ti Mn Ga
6 1 10
Direct
0.000 0.386 0.282 Ti
0.000 0.614 0.718 Ti
0.386 0.000 0.282 Ti
0.386 0.386 0.718 Ti
0.614 0.000 0.718 Ti
0.614 0.614 0.282 Ti
0.000 0.000 0.500 Mn
0.000 0.251 0.800 Ga
0.000 0.749 0.200 Ga
0.251 0.000 0.800 Ga
0.251 0.251 0.200 Ga
0.333 0.667 0.000 Ga
0.333 0.667 0.500 Ga
0.667 0.333 0.000 Ga
0.667 0.333 0.500 Ga
0.749 0.000 0.200 Ga
0.749 0.749 0.800 Ga
```